# 1
Entry from Alexandria: a geometry-optimized Rb3DyY3Te8 structure (PBE).

Geometry as POSCAR:
```
Rb3DyY3Te8
1.0
4.4091 2.5456 8.8447
-4.4091 2.5456 8.8447
0.0000 -5.0912 8.8447
Rb Dy Y Te
3 1 3 8
direct
0.0000 0.5000 0.5000
0.5000 0.0000 0.5000
0.5000 0.5000 0.0000
0.5000 0.5000 0.5000
0.0000 0.0000 0.5000
0.0000 0.5000 0.0000
0.5000 0.0000 0.0000
0.2315 0.7341 0.7341
0.2335 0.2335 0.2335
0.2659 0.2659 0.7685
0.2659 0.7685 0.2659
0.7341 0.2315 0.7341
0.7341 0.7341 0.2315
0.7665 0.7665 0.7665
0.7685 0.2659 0.2659
```

* calculated total energy: -4.80 eV per atom
* space-group type: R-3m
* raw formation energy: -128.18 kJ per mole of atoms
* M_tot: 0.00 μB per formula unit

***

# 2
Entry from Alexandria: a geometry-optimized Rb3Dy3ZrTe8 structure (PBE).

Geometry as POSCAR:
```
Rb3Dy3ZrTe8
1.0
4.4039 2.5426 8.7665
-4.4039 2.5426 8.7665
0.0000 -5.0852 8.7665
Rb Dy Zr Te
3 3 1 8
direct
0.0000 0.5000 0.5000
0.5000 0.0000 0.5000
0.5000 0.5000 0.0000
0.0000 0.0000 0.5000
0.0000 0.5000 0.0000
0.5000 0.0000 0.0000
0.5000 0.5000 0.5000
0.2333 0.2333 0.2333
0.2436 0.7249 0.7249
0.2751 0.2751 0.7564
0.2751 0.7564 0.2751
0.7249 0.2436 0.7249
0.7249 0.7249 0.2436
0.7564 0.2751 0.2751
0.7667 0.7667 0.7667
```

* calculated total energy: -4.63 eV per atom
* space-group type: R-3m
* raw formation energy: -122.75 kJ per mole of atoms
* M_tot: 0.00 μB per formula unit

***

# 3
Entry from Alexandria: a geometry-optimized Rb3Dy2ZrTe6 structure (PBE).

Geometry as POSCAR:
```
Rb3Dy2ZrTe6
1.0
3.8363 -6.6459 0.0000
3.8363 6.6459 0.0000
-2.5612 0.0000 8.5879
Rb Dy Zr Te
3 2 1 6
direct
0.0000 0.0000 0.0000
0.3299 0.6701 0.0000
0.6701 0.3299 0.0000
0.1662 0.8338 0.5000
0.8338 0.1662 0.5000
0.5000 0.5000 0.5000
0.1118 0.4343 0.3026
0.2442 0.2442 0.6988
0.4343 0.1118 0.3026
0.5657 0.8882 0.6974
0.7558 0.7558 0.3012
0.8882 0.5657 0.6974
```

* calculated total energy: -4.51 eV per atom
* space-group type: C2/m
* raw formation energy: -117.20 kJ per mole of atoms
* M_tot: 0.81 μB per formula unit

***

Repeat the third record exactly.
Entry from Alexandria: a geometry-optimized Rb3Dy2ZrTe6 structure (PBE).

Geometry as POSCAR:
```
Rb3Dy2ZrTe6
1.0
3.8363 -6.6459 0.0000
3.8363 6.6459 0.0000
-2.5612 0.0000 8.5879
Rb Dy Zr Te
3 2 1 6
direct
0.0000 0.0000 0.0000
0.3299 0.6701 0.0000
0.6701 0.3299 0.0000
0.1662 0.8338 0.5000
0.8338 0.1662 0.5000
0.5000 0.5000 0.5000
0.1118 0.4343 0.3026
0.2442 0.2442 0.6988
0.4343 0.1118 0.3026
0.5657 0.8882 0.6974
0.7558 0.7558 0.3012
0.8882 0.5657 0.6974
```

* calculated total energy: -4.51 eV per atom
* space-group type: C2/m
* raw formation energy: -117.20 kJ per mole of atoms
* M_tot: 0.81 μB per formula unit

***

> What is the formula in the first record?

Rb3DyY3Te8

***

> What is the formula in the third record?

Rb3Dy2ZrTe6

***

> Which of these has the highest M_tot?

Rb3Dy2ZrTe6